# LiY2Se

A relaxed structure of LiY2Se (PBEsol, Alexandria).

Lattice parameters (Å, degrees): 3.995 4.025 5.866 110.07 90.00 90.00
Positions (direct):
Li (0.000, 0.816, 0.632)
Y (0.000, 0.101, 0.202)
Y (0.500, 0.399, 0.798)
Se (0.500, 0.677, 0.353)

Results
Uncorrected formation energy   -863 meV/atom
E   -5.73 eV/atom
Total magnetization   0.0 μB per cell
SG   No. 38